(1)
Computed, not measured: a relaxed Rb2BeHg crystal at the PBE-GGA level of DFT.

Calculated values
ΔE_f, eV per atom: 0.53
ΔE to the lowest computed polymorph, meV/atom: 0.0
Fermi-level density of states, states/eV/cell: 29.9
Calculated density, Mg/m³: 3.8

Cell lengths 8.733, 8.733, 8.733 Å; angles 90.00, 90.00, 90.00 degrees
Space group Fm-3m (No. 225)
Unique sites:
Rb: 0.250 0.250 0.250
Be: 0.000 0.000 0.000
Hg: 0.000 0.000 0.500


(2)
Computed, not measured: a relaxed Rb2BeHg2 crystal at the PBE-GGA level of DFT.

Calculated values
ΔE_f, eV per atom: 0.47
ΔE to the lowest computed polymorph, meV/atom: 243.5
Fermi-level density of states, states/eV/cell: 7.3
Calculated density, Mg/m³: 4.4

Cell lengths 10.111, 10.111, 4.311 Å; angles 90.00, 90.00, 90.00 degrees
Space group P4/mbm (No. 127)
Unique sites:
Rb: 0.187 0.313 0.000
Be: 0.000 0.000 0.000
Hg: 0.108 0.608 0.500


(3)
Computed, not measured: a relaxed Rb2BeHg2 crystal at the PBE-GGA level of DFT.

Calculated values
ΔE_f, eV per atom: 0.39
ΔE to the lowest computed polymorph, meV/atom: 168.3
Fermi-level density of states, states/eV/cell: 3.4
Calculated density, Mg/m³: 4.7

Cell lengths 4.467, 4.467, 20.589 Å; angles 90.00, 90.00, 90.00 degrees
Space group I4/mmm (No. 139)
Unique sites:
Rb: 0.000 0.000 0.101
Be: 0.000 0.000 0.500
Hg: 0.000 0.500 0.250


(4)
Computed, not measured: a relaxed RbBe3Hg crystal at the PBE-GGA level of DFT.

Calculated values
ΔE_f, eV per atom: 2.09
ΔE to the lowest computed polymorph, meV/atom: 1242.8
Fermi-level density of states, states/eV/cell: 5.0
Calculated density, Mg/m³: 1.7

Cell lengths 6.770, 6.770, 6.770 Å; angles 90.00, 90.00, 90.00 degrees
Space group Pm-3m (No. 221)
Unique sites:
Rb: 0.000 0.000 0.000
Be: 0.000 0.000 0.500
Hg: 0.500 0.500 0.500


(5)
Computed, not measured: a relaxed RbBeHgSe2 crystal at the PBE-GGA level of DFT.

Calculated values
E_form (uncorrected), meV/atom: -471
Fermi-level density of states, states/eV/cell: 5.8
Calculated density, Mg/m³: 4.8

Cell lengths 7.588, 4.897, 8.525 Å; angles 90.00, 92.81, 90.00 degrees
Space group P2/c (No. 13)
Unique sites:
Rb: 0.000 0.222 0.250
Be: 0.500 0.500 0.000
Hg: 0.500 0.104 0.250
Se: 0.281 0.284 0.929


(6)
Computed, not measured: a relaxed RbBeHg2Se crystal at the PBE-GGA level of DFT.

Calculated values
E_form (uncorrected), meV/atom: 990
Fermi-level density of states, states/eV/cell: 4.3
Calculated density, Mg/m³: 3.2

Cell lengths 6.746, 6.746, 6.507 Å; angles 90.00, 90.00, 90.00 degrees
Space group P4/mmm (No. 123)
Unique sites:
Rb: 0.000 0.000 0.000
Be: 0.000 0.000 0.500
Hg: 0.000 0.500 0.000
Se: 0.500 0.500 0.500


(7)
Computed, not measured: a relaxed RbBe2HgW crystal at the PBE-GGA level of DFT.

Calculated values
ΔE_f, eV per atom: 1.66
Fermi-level density of states, states/eV/cell: 3.6
Calculated density, Mg/m³: 6.6

Cell lengths 4.700, 4.700, 5.519 Å; angles 90.00, 90.00, 90.00 degrees
Space group P4/mmm (No. 123)
Unique sites:
Rb: 0.000 0.000 0.000
Be: 0.000 0.500 0.500
Hg: 0.500 0.500 0.500
W: 0.500 0.500 0.000


(8)
Computed, not measured: a relaxed BeRe3Hg crystal at the PBE-GGA level of DFT.

Calculated values
ΔE_f, eV per atom: 1.05
ΔE to the lowest computed polymorph, meV/atom: 0.0
Fermi-level density of states, states/eV/cell: 4.2
Calculated density, Mg/m³: 16.9

Cell lengths 4.225, 4.225, 4.225 Å; angles 90.00, 90.00, 90.00 degrees
Space group Pm-3m (No. 221)
Unique sites:
Be: 0.000 0.000 0.000
Re: 0.000 0.000 0.500
Hg: 0.500 0.500 0.500


(9)
Computed, not measured: a relaxed Be3ReHg crystal at the PBE-GGA level of DFT.

Calculated values
ΔE_f, eV per atom: 1.61
ΔE to the lowest computed polymorph, meV/atom: 523.7
Fermi-level density of states, states/eV/cell: 3.4
Calculated density, Mg/m³: 8.9

Cell lengths 4.264, 4.264, 4.264 Å; angles 90.00, 90.00, 90.00 degrees
Space group Pm-3m (No. 221)
Unique sites:
Be: 0.000 0.000 0.500
Re: 0.500 0.500 0.500
Hg: 0.000 0.000 0.000


(10)
Computed, not measured: a relaxed Be4ReHg crystal at the PBE-GGA level of DFT.

Calculated values
ΔE_f, eV per atom: 0.26
Fermi-level density of states, states/eV/cell: 4.5
Calculated density, Mg/m³: 10.5

Cell lengths 6.436, 6.436, 6.436 Å; angles 90.00, 90.00, 90.00 degrees
Space group F-43m (No. 216)
Unique sites:
Be: 0.121 0.121 0.379
Re: 0.250 0.250 0.750
Hg: 0.000 0.000 0.000


(11)
Computed, not measured: a relaxed Be2Re2Hg crystal at the PBE-GGA level of DFT.

Calculated values
ΔE_f, eV per atom: 0.45
Fermi-level density of states, states/eV/cell: 2.8
Calculated density, Mg/m³: 13.7

Cell lengths 6.984, 6.984, 2.934 Å; angles 90.00, 90.00, 90.00 degrees
Space group P4/mbm (No. 127)
Unique sites:
Be: 0.169 0.331 0.000
Re: 0.119 0.619 0.500
Hg: 0.000 0.000 0.500


(12)
Computed, not measured: a relaxed BeRe3Hg crystal at the PBE-GGA level of DFT.

Calculated values
ΔE_f, eV per atom: 3.64
ΔE to the lowest computed polymorph, meV/atom: 2585.1
Fermi-level density of states, states/eV/cell: 7.1
Calculated density, Mg/m³: 10.8

Cell lengths 4.905, 4.905, 4.905 Å; angles 90.00, 90.00, 90.00 degrees
Space group Pm-3m (No. 221)
Unique sites:
Be: 0.000 0.000 0.000
Re: 0.000 0.500 0.500
Hg: 0.500 0.500 0.500